1.
# PBE Sr2LaTe, optimized geometry
data_Sr2LaTe
_space_group_name_H-M_alt 'P 1'
_space_group_IT_number 1
_cell_length_a 5.632
_cell_length_b 5.057
_cell_length_c 5.057
_cell_angle_alpha 90.00
_cell_angle_beta 90.00
_cell_angle_gamma 90.00
loop_
_space_group_symop_operation_xyz
'x,y,z'
loop_
_atom_site_label
_atom_site_type_symbol
_atom_site_fract_x
_atom_site_fract_y
_atom_site_fract_z
_atom_site_occupancy
La1 La 0.500 0.000 0.500 1
Sr1 Sr 0.000 0.500 0.500 1
Sr2 Sr 0.000 0.000 0.000 1
Te1 Te 0.500 0.500 0.000 1
# VASP energy = -13.068 eV/f.u.
# symmetry = No. 123
# total magnetic moment = 0.013 μB/atom
# V = 36.000 Å³/atom
# formation energy (no corrections) = -1.63 eV per formula unit

=====

2.
# PBE Sr2LaTe, optimized geometry
data_Sr2LaTe
_space_group_name_H-M_alt 'P 1'
_space_group_IT_number 1
_cell_length_a 5.933
_cell_length_b 5.933
_cell_length_c 5.933
_cell_angle_alpha 60.00
_cell_angle_beta 60.00
_cell_angle_gamma 60.00
loop_
_space_group_symop_operation_xyz
'x,y,z'
loop_
_atom_site_label
_atom_site_type_symbol
_atom_site_fract_x
_atom_site_fract_y
_atom_site_fract_z
_atom_site_occupancy
Te1 Te 0.750 0.750 0.750 1
Sr1 Sr 0.250 0.250 0.250 1
Sr2 Sr 0.000 0.000 0.000 1
La1 La 0.500 0.500 0.500 1
# VASP energy = -12.471 eV/f.u.
# symmetry = No. 216
# total magnetic moment = 0.000 μB/atom
# V = 36.924 Å³/atom
# formation energy (no corrections) = -1.04 eV per formula unit

=====

3.
# PBE Sr2LaTe2, optimized geometry
data_Sr2LaTe2
_space_group_name_H-M_alt 'P 1'
_space_group_IT_number 1
_cell_length_a 8.827
_cell_length_b 8.827
_cell_length_c 4.526
_cell_angle_alpha 90.00
_cell_angle_beta 90.00
_cell_angle_gamma 90.00
loop_
_space_group_symop_operation_xyz
'x,y,z'
loop_
_atom_site_label
_atom_site_type_symbol
_atom_site_fract_x
_atom_site_fract_y
_atom_site_fract_z
_atom_site_occupancy
Te1 Te 0.654 0.154 0.000 1
La1 La 0.000 0.000 0.000 1
Te2 Te 0.346 0.846 0.000 1
Te3 Te 0.846 0.654 0.000 1
Sr1 Sr 0.154 0.654 0.500 1
Sr2 Sr 0.846 0.346 0.500 1
La2 La 0.500 0.500 0.000 1
Sr3 Sr 0.346 0.154 0.500 1
Te4 Te 0.154 0.346 0.000 1
Sr4 Sr 0.654 0.846 0.500 1
# VASP energy = -20.536 eV/f.u.
# symmetry = No. 127
# total magnetic moment = 0.000 μB/atom
# V = 35.265 Å³/atom
# formation energy (no corrections) = -5.96 eV per formula unit

=====

4.
# PBE SrLa5Te8, optimized geometry
data_SrLa5Te8
_space_group_name_H-M_alt 'P 1'
_space_group_IT_number 1
_cell_length_a 8.426
_cell_length_b 8.426
_cell_length_c 8.426
_cell_angle_alpha 109.49
_cell_angle_beta 109.43
_cell_angle_gamma 109.49
loop_
_space_group_symop_operation_xyz
'x,y,z'
loop_
_atom_site_label
_atom_site_type_symbol
_atom_site_fract_x
_atom_site_fract_y
_atom_site_fract_z
_atom_site_occupancy
Sr1 Sr 0.250 0.500 0.750 1
Te1 Te 0.632 0.401 0.879 1
La1 La 0.371 0.124 0.996 1
Te2 Te 0.126 0.753 0.031 1
Te3 Te 0.478 0.599 0.231 1
Te4 Te 0.969 0.095 0.722 1
Te5 Te 0.769 0.247 0.368 1
Te6 Te 0.278 0.247 0.373 1
Te7 Te 0.121 0.753 0.522 1
Te8 Te 0.627 0.905 0.874 1
La2 La 0.500 0.000 0.500 1
La3 La 0.004 0.375 0.128 1
La4 La 0.753 0.625 0.629 1
La5 La 0.872 0.876 0.247 1
# VASP energy = -74.221 eV/f.u.
# symmetry = No. 82
# total magnetic moment = 0.000 μB/atom
# V = 32.890 Å³/atom
# formation energy (no corrections) = -22.77 eV per formula unit

=====

5.
# PBE Sr2LaTe, optimized geometry
data_Sr2LaTe
_space_group_name_H-M_alt 'P 1'
_space_group_IT_number 1
_cell_length_a 11.378
_cell_length_b 11.378
_cell_length_c 11.378
_cell_angle_alpha 21.67
_cell_angle_beta 21.67
_cell_angle_gamma 21.67
loop_
_space_group_symop_operation_xyz
'x,y,z'
loop_
_atom_site_label
_atom_site_type_symbol
_atom_site_fract_x
_atom_site_fract_y
_atom_site_fract_z
_atom_site_occupancy
Sr1 Sr 0.981 0.981 0.981 1
La1 La 0.750 0.750 0.750 1
Te1 Te 0.250 0.250 0.250 1
Sr2 Sr 0.519 0.519 0.519 1
# VASP energy = -13.838 eV/f.u.
# symmetry = No. 166
# total magnetic moment = 0.285 μB/atom
# V = 43.991 Å³/atom
# formation energy (no corrections) = -2.40 eV per formula unit

=====

6.
# PBE Sr3La4Te8, optimized geometry
data_Sr3La4Te8
_space_group_name_H-M_alt 'P 1'
_space_group_IT_number 1
_cell_length_a 9.249
_cell_length_b 9.268
_cell_length_c 9.268
_cell_angle_alpha 90.11
_cell_angle_beta 119.78
_cell_angle_gamma 119.78
loop_
_space_group_symop_operation_xyz
'x,y,z'
loop_
_atom_site_label
_atom_site_type_symbol
_atom_site_fract_x
_atom_site_fract_y
_atom_site_fract_z
_atom_site_occupancy
Te1 Te 0.005 0.752 0.752 1
La1 La 0.500 0.000 0.000 1
Te2 Te 0.995 0.248 0.248 1
La2 La 0.000 0.500 0.000 1
Te3 Te 0.000 0.249 0.751 1
La3 La 0.000 0.000 0.000 1
La4 La 0.000 0.000 0.500 1
Sr1 Sr 0.500 0.000 0.500 1
Te4 Te 0.507 0.757 0.757 1
Sr2 Sr 0.500 0.500 0.000 1
Sr3 Sr 0.500 0.500 0.500 1
Te5 Te 0.500 0.248 0.752 1
Te6 Te 0.500 0.752 0.248 1
Te7 Te 0.000 0.751 0.249 1
Te8 Te 0.493 0.243 0.243 1
# VASP energy = -74.316 eV/f.u.
# symmetry = No. 12
# total magnetic moment = 0.000 μB/atom
# V = 37.659 Å³/atom
# formation energy (no corrections) = -24.43 eV per formula unit

=====

7.
# PBE Sr2LaTe, optimized geometry
data_Sr2LaTe
_space_group_name_H-M_alt 'P 1'
_space_group_IT_number 1
_cell_length_a 7.123
_cell_length_b 7.123
_cell_length_c 7.123
_cell_angle_alpha 139.41
_cell_angle_beta 139.41
_cell_angle_gamma 58.75
loop_
_space_group_symop_operation_xyz
'x,y,z'
loop_
_atom_site_label
_atom_site_type_symbol
_atom_site_fract_x
_atom_site_fract_y
_atom_site_fract_z
_atom_site_occupancy
Te1 Te 0.250 0.750 0.500 1
Sr1 Sr 0.500 0.500 0.000 1
Sr2 Sr 0.000 0.000 0.000 1
La1 La 0.750 0.250 0.500 1
# VASP energy = -13.228 eV/f.u.
# symmetry = No. 139
# total magnetic moment = 0.001 μB/atom
# V = 37.885 Å³/atom
# formation energy (no corrections) = -1.80 eV per formula unit

=====

8.
# PBE Sr2LaTe3, optimized geometry
data_Sr2LaTe3
_space_group_name_H-M_alt 'P 1'
_space_group_IT_number 1
_cell_length_a 8.085
_cell_length_b 8.085
_cell_length_c 8.124
_cell_angle_alpha 99.55
_cell_angle_beta 99.55
_cell_angle_gamma 119.97
loop_
_space_group_symop_operation_xyz
'x,y,z'
loop_
_atom_site_label
_atom_site_type_symbol
_atom_site_fract_x
_atom_site_fract_y
_atom_site_fract_z
_atom_site_occupancy
Te1 Te 0.078 0.411 0.245 1
Te2 Te 0.752 0.749 0.246 1
Te3 Te 0.415 0.086 0.246 1
La1 La 0.667 0.333 0.000 1
Sr1 Sr 0.333 0.667 0.000 1
Te4 Te 0.589 0.922 0.755 1
Sr2 Sr 0.499 0.501 0.500 1
Sr3 Sr 0.168 0.832 0.500 1
Te5 Te 0.914 0.585 0.754 1
Te6 Te 0.251 0.248 0.754 1
Sr4 Sr 0.833 0.167 0.500 1
La2 La 0.000 0.000 0.000 1
# VASP energy = -27.669 eV/f.u.
# symmetry = No. 12
# total magnetic moment = 0.000 μB/atom
# V = 36.164 Å³/atom
# formation energy (no corrections) = -9.95 eV per formula unit

=====

9.
# PBE SrLa2Te2, optimized geometry
data_SrLa2Te2
_space_group_name_H-M_alt 'P 1'
_space_group_IT_number 1
_cell_length_a 4.681
_cell_length_b 4.681
_cell_length_c 8.796
_cell_angle_alpha 74.57
_cell_angle_beta 74.57
_cell_angle_gamma 90.00
loop_
_space_group_symop_operation_xyz
'x,y,z'
loop_
_atom_site_label
_atom_site_type_symbol
_atom_site_fract_x
_atom_site_fract_y
_atom_site_fract_z
_atom_site_occupancy
Sr1 Sr 0.000 0.000 0.000 1
La1 La 0.750 0.250 0.500 1
Te1 Te 0.608 0.608 0.784 1
Te2 Te 0.392 0.392 0.216 1
La2 La 0.250 0.750 0.500 1
# VASP energy = -22.780 eV/f.u.
# symmetry = No. 139
# E above lowest polymorph = 196 meV per atom
# total magnetic moment = 0.000 μB/atom
# V = 35.709 Å³/atom
# formation energy (no corrections) = -4.96 eV per formula unit

=====

10.
# PBE SrLa2Te2, optimized geometry
data_SrLa2Te2
_space_group_name_H-M_alt 'P 1'
_space_group_IT_number 1
_cell_length_a 8.876
_cell_length_b 8.876
_cell_length_c 4.260
_cell_angle_alpha 90.00
_cell_angle_beta 90.00
_cell_angle_gamma 90.00
loop_
_space_group_symop_operation_xyz
'x,y,z'
loop_
_atom_site_label
_atom_site_type_symbol
_atom_site_fract_x
_atom_site_fract_y
_atom_site_fract_z
_atom_site_occupancy
Te1 Te 0.646 0.146 0.000 1
Sr1 Sr 0.500 0.500 0.000 1
Te2 Te 0.146 0.354 0.000 1
La1 La 0.152 0.652 0.500 1
La2 La 0.652 0.848 0.500 1
La3 La 0.348 0.152 0.500 1
Sr2 Sr 0.000 0.000 0.000 1
Te3 Te 0.354 0.854 0.000 1
Te4 Te 0.854 0.646 0.000 1
La4 La 0.848 0.348 0.500 1
# VASP energy = -23.761 eV/f.u.
# symmetry = No. 127
# E above lowest polymorph = 0 meV per atom
# total magnetic moment = 0.019 μB/atom
# V = 33.563 Å³/atom
# formation energy (no corrections) = -5.94 eV per formula unit

=====

- formation energy (no corrections) of number 3 (Sr2LaTe2)?
  -5.96 eV per formula unit